Compound: SrLaI4
Source: Alexandria
Functional: PBE
Structure: relaxed

Computed properties:
Electronic total energy   -3.6721 eV/atom
Formation energy without anion corrections   -1.54 eV/atom

Geometry as CIF:
```
data_SrLaI4
_cell_length_a 10.3471
_cell_length_b 15.0333
_cell_length_c 7.5556
_cell_angle_alpha 90.00
_cell_angle_beta 124.90
_cell_angle_gamma 90.00
_space_group_name_H-M_alt 'C 1 2/c 1'
_space_group_IT_number 15
_space_group_name_Hall '-C 2yc'
loop_
_atom_site_label
_atom_site_fract_x
_atom_site_fract_y
_atom_site_fract_z
_atom_site_occupancy
Sr1 0.0000 0.1348 0.2500 1
La1 0.0000 0.5004 0.2500 1
I1 0.1226 0.3232 0.5876 1
I2 0.1957 0.0616 0.7626 1
```